(1)
# CoRhSe2

CoRhSe2 after structural relaxation (PBE, Alexandria).

Properties
space group = P2/m, No. 10
formation energy (no corrections) = 199 meV/atom
DOS at the Fermi energy = 2.9 states/eV/f.u.

a b c (Å): 4.428 3.406 4.568
angles (deg): 90.00 101.43 90.00
Fractional positions:
Co  0.000  0.000  0.000
Rh  0.500  0.000  0.500
Se  0.259  0.500  0.786
Se  0.741  0.500  0.214


(2)
# TaFe2Se

TaFe2Se after structural relaxation (PBE, Alexandria).

Properties
space group = Pm, No. 6
formation energy (no corrections) = 42 meV/atom
DOS at the Fermi energy = 3.2 states/eV/f.u.

a b c (Å): 3.186 3.358 5.839
angles (deg): 90.00 105.75 90.00
Fractional positions:
Ta  0.000  0.000  0.000
Fe  0.233  0.000  0.468
Fe  0.635  0.500  0.272
Se  0.389  0.500  0.778


(3)
# CeTmP2

CeTmP2 after structural relaxation (PBE, Alexandria).

Properties
space group = R-3m, No. 166
DOS at the Fermi energy = 4.5 states/eV/f.u.
ΔE_f = -1550 meV/atom

a b c (Å): 6.940 6.940 6.940
angles (deg): 33.69 33.69 33.69
Fractional positions:
Ce  0.000  0.000  0.000
Tm  0.500  0.500  0.500
P  0.248  0.248  0.248
P  0.752  0.752  0.752


(4)
# K4Rb3Hg

K4Rb3Hg after structural relaxation (PBE, Alexandria).

Properties
space group = C2/m, No. 12
DOS at the Fermi energy = 5.6 states/eV/f.u.
ΔE_f = -10 meV/atom

a b c (Å): 17.834 17.834 7.363
angles (deg): 101.65 101.65 14.36
Fractional positions:
K  0.080  0.080  0.080
K  0.223  0.223  0.223
K  0.777  0.777  0.777
K  0.920  0.920  0.920
Rb  0.000  0.000  0.500
Rb  0.149  0.149  0.648
Rb  0.851  0.851  0.352
Hg  0.500  0.500  0.000


(5)
# SrPmSb

SrPmSb after structural relaxation (PBE, Alexandria).

Properties
space group = I4mm, No. 107
formation energy (no corrections) = -588 meV/atom
DOS at the Fermi energy = 2.9 states/eV/f.u.

a b c (Å): 7.286 7.286 7.286
angles (deg): 147.57 147.57 46.52
Fractional positions:
Sr  0.000  0.000  0.000
Pm  0.266  0.266  0.000
Sb  0.662  0.662  0.000


(6)
# Rb3BeO2

Rb3BeO2 after structural relaxation (PBE, Alexandria).

Properties
space group = Ibam, No. 72
formation energy (no corrections) = -1388 meV/atom
DOS at the Fermi energy = 0.8 states/eV/f.u.

a b c (Å): 11.270 11.270 11.270
angles (deg): 151.41 50.58 139.19
Fractional positions:
Rb  0.104  0.750  0.354
Rb  0.250  0.250  0.000
Rb  0.396  0.750  0.646
Rb  0.604  0.250  0.354
Rb  0.750  0.750  0.000
Rb  0.896  0.250  0.646
Be  0.000  0.500  0.500
Be  0.500  0.000  0.500
O  0.056  0.656  0.712
O  0.444  0.156  0.600
O  0.556  0.844  0.400
O  0.944  0.344  0.288


(7)
# Cs3Rb8Tl

Cs3Rb8Tl after structural relaxation (PBE, Alexandria).

Properties
space group = P6_3mc, No. 186
DOS at the Fermi energy = 9.6 states/eV/f.u.
ΔE_f = 6 meV/atom

a b c (Å): 15.550 15.550 10.056
angles (deg): 90.00 90.00 120.00
Fractional positions:
Cs  0.157  0.315  0.000
Cs  0.157  0.843  0.000
Cs  0.315  0.157  0.500
Cs  0.685  0.843  0.000
Cs  0.843  0.157  0.500
Cs  0.843  0.685  0.500
Rb  0.000  0.000  0.250
Rb  0.000  0.000  0.750
Rb  0.043  0.522  0.785
Rb  0.218  0.436  0.495
Rb  0.218  0.782  0.495
Rb  0.333  0.667  0.111
Rb  0.436  0.218  0.995
Rb  0.478  0.522  0.785
Rb  0.478  0.957  0.785
Rb  0.522  0.043  0.285
Rb  0.522  0.478  0.285
Rb  0.564  0.782  0.495
Rb  0.667  0.333  0.611
Rb  0.782  0.218  0.995
Rb  0.782  0.564  0.995
Rb  0.957  0.478  0.285
Tl  0.333  0.667  0.734
Tl  0.667  0.333  0.234


(8)
# La2Tb7Tm2

La2Tb7Tm2 after structural relaxation (PBE, Alexandria).

Properties
space group = C2/m, No. 12
DOS at the Fermi energy = 18.8 states/eV/f.u.
ΔE_f = 339 meV/atom

a b c (Å): 6.918 6.918 9.413
angles (deg): 90.25 90.25 56.71
Fractional positions:
La  0.249  0.751  0.000
La  0.751  0.249  0.000
Tb  0.000  0.000  0.319
Tb  0.000  0.000  0.681
Tb  0.002  0.501  0.186
Tb  0.499  0.998  0.814
Tb  0.500  0.500  0.500
Tb  0.501  0.002  0.186
Tb  0.998  0.499  0.814
Tm  0.227  0.227  0.501
Tm  0.773  0.773  0.499


(9)
# Sr2BeSb

Sr2BeSb after structural relaxation (PBE, Alexandria).

Properties
space group = Cmm2, No. 35
formation energy (no corrections) = 8 meV/atom
DOS at the Fermi energy = 2.7 states/eV/f.u.

a b c (Å): 3.961 3.961 9.412
angles (deg): 90.00 90.00 111.99
Fractional positions:
Sr  0.000  0.000  0.000
Sr  0.500  0.500  0.392
Be  0.500  0.500  0.761
Sb  0.000  0.000  0.641


(10)
# TbY2Zn2

TbY2Zn2 after structural relaxation (PBE, Alexandria).

Properties
space group = P4/mbm, No. 127
DOS at the Fermi energy = 6.2 states/eV/f.u.
ΔE_f = -247 meV/atom

a b c (Å): 7.407 7.407 4.643
angles (deg): 90.00 90.00 90.00
Fractional positions:
Tb  0.000  0.000  0.000
Tb  0.500  0.500  0.000
Y  0.171  0.329  0.500
Y  0.329  0.829  0.500
Y  0.671  0.171  0.500
Y  0.829  0.671  0.500
Zn  0.121  0.621  0.000
Zn  0.379  0.121  0.000
Zn  0.621  0.879  0.000
Zn  0.879  0.379  0.000


(11)
# LaPm2DyTm4

LaPm2DyTm4 after structural relaxation (PBE, Alexandria).

Properties
space group = Cc, No. 9
DOS at the Fermi energy = 11.5 states/eV/f.u.
ΔE_f = 28 meV/atom

a b c (Å): 9.447 9.447 6.184
angles (deg): 102.62 102.62 98.26
Fractional positions:
La  0.063  0.937  0.500
La  0.937  0.063  0.000
Pm  0.064  0.439  0.001
Pm  0.439  0.064  0.501
Pm  0.439  0.564  0.999
Pm  0.564  0.439  0.499
Dy  0.563  0.937  0.999
Dy  0.937  0.563  0.499
Tm  0.188  0.316  0.503
Tm  0.191  0.811  0.998
Tm  0.314  0.688  0.501
Tm  0.316  0.188  0.003
Tm  0.686  0.812  0.497
Tm  0.688  0.314  0.001
Tm  0.811  0.191  0.498
Tm  0.812  0.686  0.997


(12)
# CaSbS2Cl

CaSbS2Cl after structural relaxation (PBE, Alexandria).

Properties
space group = P4/mmm, No. 123
formation energy (no corrections) = -303 meV/atom
DOS at the Fermi energy = 3.1 states/eV/f.u.

a b c (Å): 5.302 5.302 4.939
angles (deg): 90.00 90.00 90.00
Fractional positions:
Ca  0.000  0.000  0.000
Sb  0.500  0.500  0.500
S  0.000  0.500  0.000
S  0.500  0.000  0.000
Cl  0.000  0.000  0.500